Here is crystalline FePbCl2 at its relaxed geometry from Alexandria via LeMat-Bulk. Energies are from PBE.

Relative energy among the computed polymorphs = 0.32 eV per formula unit
Raw formation energy = -0.360 eV per atom
Space group = No. 6

a = 3.3866 Å, b = 3.3864 Å, c = 9.1868 Å
α = 100.49°, β = 90.00°, γ = 90.00°
Fractional positions:
Pb  0.5000  0.6831  0.7510
Fe  0.0000  0.4417  0.2498
Cl  0.0000  0.8540  0.0736
Cl  0.5000  0.5213  0.4256


Here is crystalline FePb2Cl at its relaxed geometry from Alexandria via LeMat-Bulk. Energies are from PBE.

Relative energy among the computed polymorphs = 1.48 eV per formula unit
Raw formation energy = 0.339 eV per atom
Space group = No. 139

a = 5.4332 Å, b = 5.4332 Å, c = 5.4332 Å
α = 127.91°, β = 127.91°, γ = 76.77°
Fractional positions:
Pb  0.0000  0.0000  0.0000
Pb  0.5000  0.5000  0.0000
Fe  0.7500  0.2500  0.5000
Cl  0.2500  0.7500  0.5000


Here is crystalline FePbCl2 at its relaxed geometry from Alexandria via LeMat-Bulk. Energies are from PBE.

Relative energy among the computed polymorphs = 2.25 eV per formula unit
Raw formation energy = 0.122 eV per atom
Space group = No. 123

a = 4.6884 Å, b = 4.6884 Å, c = 4.2562 Å
α = 90.00°, β = 90.00°, γ = 90.00°
Fractional positions:
Pb  0.0000  0.5000  0.5000
Fe  0.5000  0.0000  0.5000
Cl  0.0000  0.0000  0.0000
Cl  0.5000  0.5000  0.0000